Entry 1:
Compound: Ac2PmHoTe6
Source: the Alexandria database
Functional: GGA-PBE
Structure: optimized geometry

Cell lengths 8.1342, 8.1342, 21.3246 Å; angles 90.00, 90.00, 120.00 degrees
Space group R3 (No. 146, hexagonal axes)
Unique sites:
Ac  0.0000  0.0000  0.0000 [3 per cell]
Ac  0.0000  0.0000  0.4992 [3 per cell]
Pm  0.0000  0.0000  0.2005 [3 per cell]
Ho  0.0000  0.0000  0.6995 [3 per cell]
Te  0.0501  0.3434  0.7742 [9 per cell]
Te  0.0542  0.7012  0.2760 [9 per cell]

Computed properties:
Energy   -152.55 eV for the cell shown
Calculated density   6.24 Mg/m³
Formation energy without anion corrections   -1.446 eV per atom

---

Entry 2:
Compound: LaScNiRu
Source: the Alexandria database
Functional: GGA-PBE
Structure: optimized geometry

Cell lengths 6.763, 6.763, 6.763 Å; angles 90.00, 90.00, 90.00 degrees
Space group F-43m (No. 216)
Unique sites:
La  0.000  0.000  0.000 [4 per cell]
Sc  0.000  0.000  0.500 [4 per cell]
Ni  0.250  0.250  0.750 [4 per cell]
Ru  0.250  0.250  0.250 [4 per cell]

Computed properties:
Energy relative to the elements   -0.28 eV per atom
Energy   -109.81 eV for the cell shown
Calculated density   7.38 Mg/m³